1.
The following is a PBE-GGA calculation of a relaxed structure of BaZr2Co, from the Alexandria database.

Output
As for the space-group type: Pm (6). As for the relative energy among the computed polymorphs: 92 meV per atom.

a b c (Å): 3.5646 3.6188 8.6429
angles (deg): 75.74 90.00 90.00
Atoms (fractional coordinates):
Co (0.5000, 0.5226, 0.8716)
Ba (0.0000, 0.6408, 0.5265)
Zr (0.5000, 0.3508, 0.1703)
Zr (0.0000, 0.9858, 0.9316)

2.
The following is a PBE-GGA calculation of a relaxed structure of BeFeRu2, from the Alexandria database.

Output
As for the space-group type: C2/m (12).

a b c (Å): 4.3160 4.3160 4.6192
angles (deg): 78.54 78.54 35.98
Site moments in Bohr magnetons follow the coordinates.
Atoms (fractional coordinates):
Ru (0.5062, 0.5062, 0.4885)  0.06
Be (0.2500, 0.2500, 0.2500)  -0.02
Fe (0.7500, 0.7500, 0.7500)  2.38
Ru (0.9938, 0.9938, 0.0115)  0.06

3.
The following is a PBE-GGA calculation of a relaxed structure of PuReSi2, from the Alexandria database.

Output
As for the space-group type: Pnma (62). As for the energy relative to the elements, uncorrected: -154 kJ/mol of formula units.

a b c (Å): 3.9534 7.2072 9.8628
angles (deg): 90.00 90.00 90.00
Site moments in Bohr magnetons follow the coordinates.
Atoms (fractional coordinates):
Si (0.2500, 0.6511, 0.3115)  0.02
Pu (0.2500, 0.1450, 0.8665)  -4.99
Pu (0.7500, 0.8550, 0.1335)  -4.99
Pu (0.2500, 0.6450, 0.6335)  -4.99
Re (0.2500, 0.9833, 0.4024)  0.10
Re (0.7500, 0.5167, 0.9024)  0.10
Si (0.2500, 0.7342, 0.9298)  0.01
Re (0.7500, 0.0167, 0.5976)  0.10
Si (0.7500, 0.8489, 0.8115)  0.02
Si (0.7500, 0.2658, 0.0702)  0.01
Si (0.7500, 0.7658, 0.4298)  0.01
Si (0.7500, 0.3489, 0.6885)  0.02
Pu (0.7500, 0.3550, 0.3665)  -4.99
Re (0.2500, 0.4833, 0.0976)  0.10
Si (0.2500, 0.2342, 0.5702)  0.01
Si (0.2500, 0.1511, 0.1885)  0.02

4.
The following is a PBE-GGA calculation of a relaxed structure of ZnInPd, from the Alexandria database.

Output
As for the space-group type: P-6m2 (187).

a b c (Å): 3.0593 4.4586 4.4586
angles (deg): 120.00 90.00 90.00
Atoms (fractional coordinates):
In (0.6662, 0.6667, 0.3333)
Zn (0.1671, 0.0000, 0.0000)
Pd (0.1668, 0.3333, 0.6667)

5.
The following is a PBE-GGA calculation of a relaxed structure of Mg2ScCu, from the Alexandria database.

Output
As for the space-group type: Cm (8).

a b c (Å): 5.4577 5.4577 4.8753
angles (deg): 63.25 63.25 38.23
Atoms (fractional coordinates):
Mg (0.0269, 0.0269, 0.9723)
Cu (0.7470, 0.7470, 0.7544)
Sc (0.4719, 0.4719, 0.5275)
Mg (0.2542, 0.2542, 0.2458)

6.
The following is a PBE-GGA calculation of a relaxed structure of HgSeI2, from the Alexandria database.

Output
As for the space-group type: P1 (1). As for the relative energy among the computed polymorphs: 31 meV per atom. As for the energy relative to the elements, uncorrected: -51 kJ/mol of formula units.

a b c (Å): 5.7982 7.6740 8.7360
angles (deg): 106.97 102.23 91.08
Atoms (fractional coordinates):
Hg (0.7672, 0.6802, 0.0273)
Hg (0.6678, 0.5182, 0.4492)
I (0.9226, 0.7889, 0.7910)
Se (0.2499, 0.6135, 0.3710)
I (0.6667, 0.9098, 0.3092)
I (0.6742, 0.3039, 0.9752)
Se (0.0373, 0.3459, 0.3783)
I (0.2961, 0.3089, 0.6584)

7.
The following is a PBE-GGA calculation of a relaxed structure of Mn2OsCl, from the Alexandria database.

Output
As for the space-group type: R-3m (166). As for the relative energy among the computed polymorphs: 127 meV per atom. As for the energy relative to the elements, uncorrected: 80 kJ/mol of formula units.

a b c (Å): 8.0582 8.0582 8.0582
angles (deg): 21.57 21.57 21.57
Site moments in Bohr magnetons follow the coordinates.
Atoms (fractional coordinates):
Os (0.2500, 0.2500, 0.2500)  -0.16
Mn (0.9988, 0.9988, 0.9988)  3.66
Mn (0.5012, 0.5012, 0.5012)  3.66
Cl (0.7500, 0.7500, 0.7500)  0.07

8.
The following is a PBE-GGA calculation of a relaxed structure of HoIn2Pd2, from the Alexandria database.

Output
As for the space-group type: P2_1/m (11). As for the relative energy among the computed polymorphs: 13 meV per atom.

a b c (Å): 4.7041 5.3776 8.9597
angles (deg): 107.42 90.00 90.00
Atoms (fractional coordinates):
Ho (0.2500, 0.7921, 0.2389)
Ho (0.7500, 0.2079, 0.7611)
Pd (0.2500, 0.3255, 0.9564)
In (0.2500, 0.7871, 0.8766)
Pd (0.7500, 0.6745, 0.0436)
Pd (0.7500, 0.0959, 0.4046)
In (0.2500, 0.3675, 0.5389)
In (0.7500, 0.6325, 0.4611)
Pd (0.2500, 0.9041, 0.5954)
In (0.7500, 0.2129, 0.1234)

9.
The following is a PBE-GGA calculation of a relaxed structure of BaSn4Pt2, from the Alexandria database.

Output
As for the space-group type: Pnma (62).

a b c (Å): 4.7266 7.4652 19.2856
angles (deg): 90.00 90.00 90.00
Atoms (fractional coordinates):
Ba (0.7500, 0.5052, 0.1423)
Sn (0.7500, 0.5190, 0.5670)
Sn (0.7500, 0.1887, 0.8187)
Sn (0.7500, 0.7797, 0.8048)
Sn (0.7500, 0.8593, 0.4688)
Pt (0.2500, 0.7492, 0.0326)
Sn (0.7500, 0.6407, 0.9688)
Pt (0.2500, 0.9803, 0.7890)
Sn (0.7500, 0.9810, 0.0670)
Pt (0.7500, 0.2508, 0.9674)
Ba (0.7500, 0.9948, 0.6423)
Ba (0.2500, 0.0052, 0.3577)
Sn (0.2500, 0.2203, 0.1952)
Sn (0.2500, 0.1407, 0.5312)
Pt (0.7500, 0.4803, 0.7110)
Pt (0.7500, 0.0197, 0.2110)
Sn (0.7500, 0.3113, 0.3187)
Sn (0.2500, 0.4810, 0.4330)
Sn (0.2500, 0.2797, 0.6952)
Sn (0.2500, 0.3593, 0.0312)
Pt (0.7500, 0.2492, 0.4674)
Sn (0.2500, 0.6887, 0.6813)
Ba (0.2500, 0.4948, 0.8577)
Sn (0.2500, 0.0190, 0.9330)
Pt (0.2500, 0.5197, 0.2890)
Sn (0.2500, 0.8113, 0.1813)
Sn (0.7500, 0.7203, 0.3048)
Pt (0.2500, 0.7508, 0.5326)

10.
The following is a PBE-GGA calculation of a relaxed structure of Cs2HgCl7, from the Alexandria database.

Output
As for the space-group type: I4/mmm (139). As for the energy relative to the elements, uncorrected: -862 kJ/mol of formula units.

a b c (Å): 7.5455 7.5455 7.8087
angles (deg): 61.11 61.11 90.00
Atoms (fractional coordinates):
Cl (0.2563, 0.2563, 0.0000)
Cl (0.7876, 0.7876, 0.4249)
Cs (0.7500, 0.2500, 0.5000)
Cs (0.2500, 0.7500, 0.5000)
Cl (0.5000, 0.5000, 0.0000)
Cl (0.7437, 0.2563, 0.0000)
Hg (0.0000, 0.0000, 0.0000)
Cl (0.2563, 0.7437, 0.0000)
Cl (0.7437, 0.7437, 0.0000)
Cl (0.2124, 0.2124, 0.5751)

11.
The following is a PBE-GGA calculation of a relaxed structure of RbTm2Ag2Se4, from the Alexandria database.

Output
As for the space-group type: C2/m (12). As for the energy relative to the elements, uncorrected: -932 kJ/mol of formula units.

a b c (Å): 3.7442 7.4363 9.1951
angles (deg): 103.71 90.00 104.58
Atoms (fractional coordinates):
Se (0.5052, 0.0103, 0.6791)
Se (0.4948, 0.9897, 0.3209)
Tm (0.8806, 0.7612, 0.4651)
Se (0.7626, 0.5252, 0.6774)
Tm (0.1194, 0.2388, 0.5349)
Ag (0.2512, 0.5023, 0.8893)
Rb (0.0000, 0.0000, 0.0000)
Ag (0.7488, 0.4977, 0.1107)
Se (0.2374, 0.4748, 0.3226)

12.
The following is a PBE-GGA calculation of a relaxed structure of NaTaMn2, from the Alexandria database.

Output
As for the space-group type: Fm-3m (225). As for the relative energy among the computed polymorphs: 0 meV per atom.

a b c (Å): 4.4697 4.4697 4.4697
angles (deg): 60.00 60.00 60.00
Site moments in Bohr magnetons follow the coordinates.
Atoms (fractional coordinates):
Mn (0.7500, 0.7500, 0.7500)  2.54
Mn (0.2500, 0.2500, 0.2500)  2.54
Ta (0.5000, 0.5000, 0.5000)  -0.93
Na (0.0000, 0.0000, 0.0000)  -0.01

Number 1: raw total energy -25.1 eV per cell. Number 2: raw total energy -30.4 eV per cell. Number 3: raw total energy -156.9 eV per cell. Number 4: raw total energy -10.0 eV per cell. Number 5: raw total energy -13.7 eV per cell. Number 6: raw total energy -14.8 eV per cell. Number 7: raw total energy -30.6 eV per cell. Number 8: raw total energy -47.6 eV per cell. Number 9: raw total energy -136.9 eV per cell. Number 10: raw total energy -23.9 eV per cell. Number 11: raw total energy -39.2 eV per cell. Number 12: raw total energy -28.6 eV per cell.